Record 1
BaAlAu2 | PBE | relaxed

a = 3.9472 Å, b = 5.6462 Å, c = 9.4251 Å
α = 90.00°, β = 90.00°, γ = 90.00°
With the nearest neighbours (Å) after each atom.
Space group Imm2 (No. 44)
Unique sites:
Ba 0.0000 0.0000 0.0000 (multiplicity 2)  4 Al 3.40-3.43, 8 Au 3.41-3.46
Al 0.0000 0.5000 0.7932 (multiplicity 2)  2 Au 2.58
Au 0.0000 0.0000 0.4699 (multiplicity 2)  2 Al 2.58
Au 0.0000 0.5000 0.2051 (multiplicity 2)  2 Au 2.97

M_tot = 0.00 μB per atom
VASP energy = -26.61 eV per cell
density of states at the Fermi level = 4.14 states/eV per cell
DFT formation energy = -6.24 kcal/mol of atoms


Record 2
BaAl4Au | PBE | relaxed

a = 8.1493 Å, b = 8.1493 Å, c = 8.1493 Å
α = 90.00°, β = 90.00°, γ = 90.00°
With the nearest neighbours (Å) after each atom.
Space group F-43m (No. 216)
Unique sites:
Ba 0.0000 0.0000 0.0000 (multiplicity 4)  12 Al 3.38, 4 Au 3.53
Al 0.1261 0.1261 0.6261 (multiplicity 16)  6 Al 2.86-2.91
Au 0.2500 0.2500 0.2500 (multiplicity 4)  12 Al 3.38, 4 Ba 3.53

M_tot = 0.00 μB per atom
VASP energy = -79.83 eV per cell
density of states at the Fermi level = 15.14 states/eV per cell
DFT formation energy = 0.82 kcal/mol of atoms


Record 3
Ba2AlAu2 | PBE | relaxed

a = 8.2353 Å, b = 8.2353 Å, c = 4.5763 Å
α = 90.00°, β = 90.00°, γ = 90.00°
With the nearest neighbours (Å) after each atom.
Space group P4/mbm (No. 127)
Unique sites:
Ba 0.1763 0.3237 0.0000 (multiplicity 4)  6 Au 3.22-3.42
Al 0.0000 0.0000 0.5000 (multiplicity 2)  4 Au 3.23
Au 0.1290 0.6290 0.5000 (multiplicity 4)  1 Au 3.00, 2 Ba 3.22, 2 Al 3.23

M_tot = 0.00 μB per atom
offset from the most stable computed form = 141 meV per atom
VASP energy = -32.93 eV per cell
density of states at the Fermi level = 10.36 states/eV per cell
DFT formation energy = -10.71 kcal/mol of atoms


Record 4
Ba2Al3BiAu12 | PBE | relaxed

a = 7.0967 Å, b = 7.0967 Å, c = 29.6488 Å
α = 90.00°, β = 90.00°, γ = 120.00°
With the nearest neighbours (Å) after each atom.
Space group R-3m (No. 166, hexagonal axes)
Unique sites:
Ba 0.0000 0.0000 0.1462 (multiplicity 6)  12 Au 3.52-3.89
Al 0.0000 0.5000 0.0000 (multiplicity 9)  6 Au 2.58-2.76
Bi 0.0000 0.0000 0.5000 (multiplicity 3)  6 Au 2.88
Au 0.0296 0.5148 0.0929 (multiplicity 18)  1 Al 2.76, 2 Au 2.80, 1 Bi 2.88
Au 0.0636 0.5318 0.6254 (multiplicity 18)  2 Al 2.58, 4 Au 2.80-2.87

M_tot = 0.00 μB per atom
VASP energy = -188.79 eV per cell
density of states at the Fermi level = 23.68 states/eV per cell
DFT formation energy = -5.96 kcal/mol of atoms